Entry 1:
# Co2NiPb

A geometry-optimized Co2NiPb structure (GGA-PBE, the Alexandria database).

Cell and atoms, written as CIF:
```
data_Co2NiPb
_chemical_formula_sum 'Co4 Ni2 Pb2'
_space_group_name_H-M_alt 'C 1 2/m 1'
_space_group_IT_number 12
_space_group_name_Hall '-C 2y'
_cell_length_a 5.145
_cell_length_b 9.164
_cell_length_c 3.011
_cell_angle_alpha 90.00
_cell_angle_beta 123.39
_cell_angle_gamma 90.00
loop_
_atom_site_label
_atom_site_fract_x
_atom_site_fract_y
_atom_site_fract_z
Co1 0.250 0.250 0.000
Ni1 0.000 0.000 0.500
Pb1 0.000 0.500 0.500
```

## Properties
Total energy: -42.81 eV for the cell shown
Size of the total moment: 3.2 μB/f.u.

***

Entry 2:
# Nd5Sm4Ho

A geometry-optimized Nd5Sm4Ho structure (GGA-PBE, the Alexandria database).

Cell and atoms, written as CIF:
```
data_Nd5Sm4Ho
_chemical_formula_sum 'Nd5 Sm4 Ho1'
_space_group_name_H-M_alt 'P -1'
_space_group_IT_number 2
_space_group_name_Hall '-P 1'
_cell_length_a 3.644
_cell_length_b 9.626
_cell_length_c 10.331
_cell_angle_alpha 105.52
_cell_angle_beta 90.11
_cell_angle_gamma 100.85
loop_
_atom_site_label
_atom_site_fract_x
_atom_site_fract_y
_atom_site_fract_z
Nd1 0.000 0.000 0.000
Nd2 0.200 0.400 0.100
Nd3 0.400 0.802 0.697
Sm1 0.200 0.399 0.600
Sm2 0.400 0.801 0.204
Ho1 0.000 0.000 0.500
```

## Properties
Total energy: -47.15 eV for the cell shown
Size of the total moment: 0.0 μB/f.u.
Relative energy among the computed polymorphs: 0.000 eV per formula unit

***

Entry 3:
# HfGeRhBr2

A geometry-optimized HfGeRhBr2 structure (GGA-PBE, the Alexandria database).

Cell and atoms, written as CIF:
```
data_HfGeRhBr2
_chemical_formula_sum 'Hf1 Ge1 Rh1 Br2'
_space_group_name_H-M_alt 'P 4/m m m'
_space_group_IT_number 123
_space_group_name_Hall '-P 4 2'
_cell_length_a 4.961
_cell_length_b 4.961
_cell_length_c 4.861
_cell_angle_alpha 90.00
_cell_angle_beta 90.00
_cell_angle_gamma 90.00
loop_
_atom_site_label
_atom_site_fract_x
_atom_site_fract_y
_atom_site_fract_z
Hf1 0.000 0.000 0.000
Ge1 0.500 0.500 0.000
Rh1 0.500 0.500 0.500
Br1 0.000 0.500 0.500
```

## Properties
Total energy: -22.51 eV for the cell shown
Size of the total moment: 0.0 μB/f.u.
E_form (uncorrected): 0.5525 eV per atom

***

Entry 4:
# Ca2AsRu2

A geometry-optimized Ca2AsRu2 structure (GGA-PBE, the Alexandria database).

Cell and atoms, written as CIF:
```
data_Ca2AsRu2
_chemical_formula_sum 'Ca4 As2 Ru4'
_space_group_name_H-M_alt 'P 4/m b m'
_space_group_IT_number 127
_space_group_name_Hall '-P 4 2ab'
_cell_length_a 6.503
_cell_length_b 6.503
_cell_length_c 4.708
_cell_angle_alpha 90.00
_cell_angle_beta 90.00
_cell_angle_gamma 90.00
loop_
_atom_site_label
_atom_site_fract_x
_atom_site_fract_y
_atom_site_fract_z
Ca1 0.174 0.326 0.000
As1 0.000 0.000 0.500
Ru1 0.139 0.639 0.500
```

## Properties
Total energy: -57.04 eV for the cell shown
Size of the total moment: 0.0 μB/f.u.

***

Entry 5:
# Li2YTl3

A geometry-optimized Li2YTl3 structure (GGA-PBE, the Alexandria database).

Cell and atoms, written as CIF:
```
data_Li2YTl3
_chemical_formula_sum 'Li4 Y2 Tl6'
_space_group_name_H-M_alt 'P 63/m m c'
_space_group_IT_number 194
_space_group_name_Hall '-P 6c 2c'
_cell_length_a 4.9650
_cell_length_b 4.9650
_cell_length_c 13.4469
_cell_angle_alpha 90.00
_cell_angle_beta 90.00
_cell_angle_gamma 120.00
loop_
_atom_site_label
_atom_site_fract_x
_atom_site_fract_y
_atom_site_fract_z
Li1 0.3333 0.6667 0.0983
Y1 0.0000 0.0000 0.2500
Tl1 0.0000 0.0000 0.0000
Tl2 0.3333 0.6667 0.6337
```

## Properties
Total energy: -37.46 eV for the cell shown
Size of the total moment: 0.0 μB/f.u.

***

Entry 6:
# TeCI2Cl

A geometry-optimized TeCI2Cl structure (GGA-PBE, the Alexandria database).

Cell and atoms, written as CIF:
```
data_TeCI2Cl
_chemical_formula_sum 'Te1 C1 I2 Cl1'
_space_group_name_H-M_alt 'P 4/m m m'
_space_group_IT_number 123
_space_group_name_Hall '-P 4 2'
_cell_length_a 5.164
_cell_length_b 5.164
_cell_length_c 4.730
_cell_angle_alpha 90.00
_cell_angle_beta 90.00
_cell_angle_gamma 90.00
loop_
_atom_site_label
_atom_site_fract_x
_atom_site_fract_y
_atom_site_fract_z
Te1 0.000 0.000 0.000
C1 0.000 0.000 0.500
I1 0.000 0.500 0.500
Cl1 0.500 0.500 0.000
```

## Properties
Total energy: -11.89 eV for the cell shown
Size of the total moment: 0.0 μB/f.u.
E_form (uncorrected): 1.0848 eV per atom
Relative energy among the computed polymorphs: 0.000 eV per formula unit

***

Entry 7:
# Sr2ZnPt

A geometry-optimized Sr2ZnPt structure (GGA-PBE, the Alexandria database).

Cell and atoms, written as CIF:
```
data_Sr2ZnPt
_chemical_formula_sum 'Sr2 Zn1 Pt1'
_space_group_name_H-M_alt 'P m m m'
_space_group_IT_number 47
_space_group_name_Hall '-P 2 2'
_cell_length_a 3.803
_cell_length_b 3.813
_cell_length_c 7.480
_cell_angle_alpha 90.00
_cell_angle_beta 90.00
_cell_angle_gamma 90.00
loop_
_atom_site_label
_atom_site_fract_x
_atom_site_fract_y
_atom_site_fract_z
Sr1 0.000 0.000 0.233
Zn1 0.500 0.500 0.500
Pt1 0.500 0.500 0.000
```

## Properties
Total energy: -12.58 eV for the cell shown
Size of the total moment: 0.0 μB/f.u.

***

Entry 8:
# Tm5InBi

A geometry-optimized Tm5InBi structure (GGA-PBE, the Alexandria database).

Cell and atoms, written as CIF:
```
data_Tm5InBi
_chemical_formula_sum 'Tm20 In4 Bi4'
_space_group_name_H-M_alt 'C 1 2/c 1'
_space_group_IT_number 15
_space_group_name_Hall '-C 2yc'
_cell_length_a 8.594
_cell_length_b 8.474
_cell_length_c 11.671
_cell_angle_alpha 90.00
_cell_angle_beta 106.02
_cell_angle_gamma 90.00
loop_
_atom_site_label
_atom_site_fract_x
_atom_site_fract_y
_atom_site_fract_z
Tm1 0.000 0.080 0.250
Tm2 0.123 0.363 0.546
Tm3 0.220 0.248 0.848
In1 0.000 0.442 0.250
Bi1 0.000 0.000 0.000
```

## Properties
Total energy: -120.93 eV for the cell shown
Size of the total moment: 0.0 μB/f.u.